1.
The following is a GGA-PBE calculation of an optimized crystal structure of Mg2SnOs2, from the Alexandria database.

```
10
Lattice="6.6592 0.0000 0.0000 0.0000 6.6592 0.0000 0.0000 0.0000 4.3071" Properties=species:S:1:pos:R:3 pbc="T T T"
Mg 1.0870 2.2426 0.0000
Mg 2.2426 5.5722 0.0000
Mg 4.4166 1.0870 0.0000
Mg 5.5722 4.4166 0.0000
Sn 0.0000 0.0000 2.1535
Sn 3.3296 3.3296 2.1535
Os 0.8535 4.1831 2.1535
Os 2.4761 0.8535 2.1535
Os 4.1831 5.8057 2.1535
Os 5.8057 2.4761 2.1535
```

Calculated values
* total DFT energy (no corrections): -5.76 eV per atom
* M_tot: 0.00 Bohr magnetons per cell
* D(E_F): 0.850 states/eV per atom

=====

2.
The following is a GGA-PBE calculation of an optimized crystal structure of MgSnOs, from the Alexandria database.

```
6
Lattice="4.9978 -1.7329 0.0000 4.9978 1.7329 0.0000 -3.9216 0.0000 6.6988" Properties=species:S:1:pos:R:3 pbc="T T T"
Mg 0.0000 0.0000 0.0000
Mg 2.8114 0.0000 4.6726
Sn 0.0076 0.0000 4.0450
Sn 6.9956 0.0000 1.7696
Os -1.1150 0.0000 6.4992
Os 4.2240 0.0000 2.1173
```

Calculated values
* total DFT energy (no corrections): -5.43 eV per atom
* M_tot: 0.00 Bohr magnetons per cell
* D(E_F): 0.488 states/eV per atom

=====

3.
The following is a GGA-PBE calculation of an optimized crystal structure of Mg3SnOs, from the Alexandria database.

```
5
Lattice="5.0013 0.0000 0.0000 0.0000 5.0013 0.0000 0.0000 0.0000 5.0013" Properties=species:S:1:pos:R:3 pbc="T T T"
Mg 0.0000 0.0000 2.5006
Mg 0.0000 2.5006 0.0000
Mg 2.5006 0.0000 0.0000
Sn 2.5006 2.5006 2.5006
Os 0.0000 0.0000 0.0000
```

Calculated values
* E above lowest polymorph: 0 kJ/mol of formula units
* M_tot: 0.00 Bohr magnetons per cell
* D(E_F): 0.425 states/eV per atom

=====

4.
The following is a GGA-PBE calculation of an optimized crystal structure of MgTaSnOs2, from the Alexandria database.

```
5
Lattice="4.8003 0.0000 0.0000 0.0000 4.8003 0.0000 0.0000 0.0000 4.7027" Properties=species:S:1:pos:R:3 pbc="T T T"
Mg 0.0000 0.0000 0.0000
Ta 2.4002 2.4002 0.0000
Sn 0.0000 0.0000 2.3514
Os 0.0000 2.4002 2.3514
Os 2.4002 0.0000 2.3514
```

Calculated values
* total DFT energy (no corrections): -5.94 eV per atom
* M_tot: 0.00 Bohr magnetons per cell
* D(E_F): 0.915 states/eV per atom

=====

5.
The following is a GGA-PBE calculation of an optimized crystal structure of SrMg2Os, from the Alexandria database.

```
4
Lattice="-2.2874 2.2874 4.0571 2.2874 -2.2874 4.0571 2.2874 2.2874 -4.0571" Properties=species:S:1:pos:R:3 pbc="T T T"
Sr 0.0000 0.0000 0.0000
Mg 2.2874 0.0000 2.0285
Mg 0.0000 2.2874 2.0285
Os 0.0000 0.0000 4.0571
```

Calculated values
* total DFT energy (no corrections): -3.62 eV per atom
* M_tot: 0.00 Bohr magnetons per cell
* D(E_F): 0.538 states/eV per atom

=====

6.
The following is a GGA-PBE calculation of an optimized crystal structure of SrMgOs, from the Alexandria database.

```
3
Lattice="5.0356 0.0000 0.0000 -2.5178 4.3609 0.0000 0.0000 0.0000 2.9500" Properties=species:S:1:pos:R:3 pbc="T T T"
Sr 0.0000 0.0000 0.0000
Mg 2.5178 1.4536 1.4578
Os 0.0000 2.9073 1.4865
```

Calculated values
* total DFT energy (no corrections): -4.21 eV per atom
* M_tot: 0.00 Bohr magnetons per cell
* D(E_F): 0.780 states/eV per atom